1.
ScBiS3: relaxed, PBE.

Lattice parameters (Å, degrees): 6.427 3.859 10.940 90.00 105.70 90.00
Sites, in units of the cell vectors:
1 Sc 0.239 0.250 0.484
2 Sc 0.761 0.750 0.516
3 Bi 0.378 0.250 0.836
4 Bi 0.622 0.750 0.164
5 S 0.011 0.750 0.360
6 S 0.229 0.750 0.957
7 S 0.460 0.750 0.628
8 S 0.540 0.250 0.372
9 S 0.771 0.250 0.043
10 S 0.989 0.250 0.640

**Size of the total moment**: 0.0 μB/cell
**VASP energy**: -56.30 eV/cell
**ΔE_f (raw)**: -1.11 eV/atom

2.
ScBiS3: relaxed, PBE.

Lattice parameters (Å, degrees): 5.157 5.157 5.157 90.00 90.00 90.00
Sites, in units of the cell vectors:
1 Sc 0.000 0.000 0.000
2 Bi 0.500 0.500 0.500
3 S 0.000 0.500 0.500
4 S 0.500 0.000 0.500
5 S 0.500 0.500 0.000

**Size of the total moment**: 0.4 μB/cell
**VASP energy**: -22.13 eV/cell
**ΔE_f (raw)**: 0.09 eV/atom

3.
ScBi3S: relaxed, PBE.

Lattice parameters (Å, degrees): 5.545 5.545 5.545 90.00 90.00 90.00
Sites, in units of the cell vectors:
1 Sc 0.000 0.000 0.000
2 Bi 0.000 0.000 0.500
3 Bi 0.000 0.500 0.000
4 Bi 0.500 0.000 0.000
5 S 0.500 0.500 0.500

**Size of the total moment**: 1.2 μB/cell
**VASP energy**: -19.83 eV/cell
**ΔE_f (raw)**: 0.45 eV/atom

4.
Sc2BiS2: relaxed, PBE.

Lattice parameters (Å, degrees): 4.314 4.314 12.949 90.00 90.00 90.00
Sites, in units of the cell vectors:
1 Sc 0.000 0.000 0.148
2 Sc 0.000 0.000 0.852
3 Sc 0.500 0.500 0.352
4 Sc 0.500 0.500 0.648
5 Bi 0.000 0.000 0.500
6 Bi 0.500 0.500 0.000
7 S 0.000 0.500 0.250
8 S 0.000 0.500 0.750
9 S 0.500 0.000 0.250
10 S 0.500 0.000 0.750

**Size of the total moment**: 0.0 μB/cell
**VASP energy**: -60.34 eV/cell
**ΔE_f (raw)**: -1.07 eV/atom